# 1
Below is crystalline K2ReSi at its relaxed geometry, with properties calculated at the PBE level.

```
K2ReSi
1.0
-2.466 1.655 -0.904
-0.386 -2.535 -3.588
-3.533 -3.649 2.959
K Re Si
2 1 1
direct
0.000 0.000 0.000 K
0.500 0.500 0.000 K
0.500 0.000 0.500 Re
0.000 0.500 0.500 Si
```

Output
Space group: Pmmm, No. 47
Raw formation energy, eV per atom: 1.1289


# 2
Below is crystalline K2ReSi at its relaxed geometry, with properties calculated at the PBE level.

```
K2ReSi
1.0
-2.074 0.252 -1.765
0.480 -2.526 -0.934
-7.180 -4.257 7.830
K Re Si
2 1 1
direct
0.000 0.000 0.996 K
0.000 0.000 0.504 K
0.500 0.500 0.250 Re
0.500 0.500 0.750 Si
```

Output
Space group: Cmmm, No. 65
Raw formation energy, eV per atom: 1.0826


# 3
Below is crystalline K2ReSi at its relaxed geometry, with properties calculated at the PBE level.

```
K2ReSi
1.0
11.789 -0.007 -0.004
11.435 2.870 -0.004
11.435 1.409 2.500
K Re Si
2 1 1
direct
0.001 0.001 0.001 K
0.499 0.499 0.499 K
0.250 0.250 0.250 Re
0.750 0.750 0.750 Si
```

Output
Space group: R-3m, No. 166
Raw formation energy, eV per atom: 1.1553


# 4
Below is crystalline K2ReSi at its relaxed geometry, with properties calculated at the PBE level.

```
K2ReSi
1.0
-2.018 -5.384 -3.745
3.168 -1.556 -5.884
-0.293 0.741 6.815
K Re Si
2 1 1
direct
0.967 0.967 0.000 K
0.267 0.767 0.500 K
0.561 0.561 0.000 Re
0.705 0.205 0.500 Si
```

Output
Space group: Imm2, No. 44
Raw formation energy, eV per atom: 0.8221


# 5
Below is crystalline KRe4Si at its relaxed geometry, with properties calculated at the PBE level.

```
KRe4Si
1.0
0.000 3.757 3.757
3.757 0.000 3.757
3.757 3.757 0.000
K Re Si
1 4 1
direct
0.000 0.000 0.000 K
0.873 0.376 0.376 Re
0.376 0.376 0.873 Re
0.376 0.873 0.376 Re
0.376 0.376 0.376 Re
0.750 0.750 0.750 Si
```

Output
Space group: F-43m, No. 216
Raw formation energy, eV per atom: 1.1273


# 6
Below is crystalline KReSiTc2 at its relaxed geometry, with properties calculated at the PBE level.

```
KReSiTc2
1.0
-0.586 -4.085 2.222
-0.964 -2.544 -4.930
4.581 -0.893 -0.435
Re K Si Tc
1 1 1 2
direct
0.000 0.000 0.000 Re
0.000 0.500 0.000 K
0.500 0.500 0.500 Si
0.000 0.000 0.500 Tc
0.500 0.000 0.000 Tc
```

Output
Space group: P4/mmm, No. 123
Raw formation energy, eV per atom: 1.9840


# 7
Below is crystalline KReSn3 at its relaxed geometry, with properties calculated at the PBE level.

```
KReSn3
1.0
-3.251 2.944 2.962
-4.176 -2.248 -2.348
-0.048 -3.779 3.704
Re K Sn
1 1 3
direct
0.000 0.000 0.000 Re
0.500 0.500 0.500 K
0.000 0.500 0.000 Sn
0.000 0.000 0.500 Sn
0.500 0.000 0.000 Sn
```

Output
Space group: Pm-3m, No. 221
Energy above the lowest structure with this stoichiometry, meV/atom: 0
ΔH_f (0 K), eV/atom: 0.2413


# 8
Below is crystalline KReSn2 at its relaxed geometry, with properties calculated at the PBE level.

```
KReSn2
1.0
0.000 3.533 3.533
3.533 0.000 3.533
3.533 3.533 0.000
Re K Sn
1 1 2
direct
0.500 0.500 0.500 Re
0.000 0.000 0.000 K
0.250 0.250 0.250 Sn
0.750 0.750 0.750 Sn
```

Output
Space group: Fm-3m, No. 225
Energy above the lowest structure with this stoichiometry, meV/atom: 225
ΔH_f (0 K), eV/atom: 0.7505